[1]
The following is a DFT calculation (PBEsol) of a relaxed structure of Y2AgSbBr.

Unit cell a=5.725 b=5.725 c=5.026 alpha=90.00 beta=90.00 gamma=90.00
Space group P4/mmm (No. 123)
Asymmetric unit:
Y (0.000, 0.500, 0.000) (multiplicity 2)
Ag (0.000, 0.000, 0.500) (multiplicity 1)
Sb (0.000, 0.000, 0.000) (multiplicity 1)
Br (0.500, 0.500, 0.500) (multiplicity 1)

Results
Raw total energy, eV per formula unit: -23.59
Energy relative to the elements, uncorrected, eV per atom: -0.042
Total moment, μB per formula unit: 0.00

***

[2]
The following is a DFT calculation (PBEsol) of a relaxed structure of RbAg2IrAu.

Unit cell a=5.144 b=5.144 c=4.847 alpha=90.00 beta=90.00 gamma=90.00
Space group P4/mmm (No. 123)
Asymmetric unit:
Rb (0.000, 0.000, 0.000) (multiplicity 1)
Ag (0.000, 0.500, 0.000) (multiplicity 2)
Ir (0.000, 0.000, 0.500) (multiplicity 1)
Au (0.500, 0.500, 0.500) (multiplicity 1)

Results
Raw total energy, eV per formula unit: -10.09
Total moment, μB per formula unit: 0.00
Formation enthalpy at 0 K, eV per formula unit: 11.30